The following is a DFT calculation (PBE) of crystalline GaCF2 at its relaxed geometry.

abc: 7.368 7.368 7.368
angles: 21.43 21.43 21.43
Atoms (fractional coordinates):
Ga: 0.000 0.000 0.000
C: 0.500 0.500 0.500
F: 0.416 0.416 0.416
F: 0.584 0.584 0.584

Relative energy among the computed polymorphs, meV per atom: 0.0
Symmetry: R-3m, No. 166
Energy relative to the elements, uncorrected, eV per atom: 0.299
Total DFT energy (no corrections), eV per atom: -3.699